ZrIn3Tc SCAN single point on PBEsol structure; N(E_F) = 2.00 states/eV per cell; E_form = 1.290 eV/atom; space group = Pm-3m (221)
1.0
5.3508 0.0000 0.0000
0.0000 5.3508 0.0000
0.0000 0.0000 5.3508
Zr In Tc
1 3 1
Cartesian
0.0000 0.0000 0.0000
0.0000 0.0000 2.6754
0.0000 2.6754 0.0000
2.6754 0.0000 0.0000
2.6754 2.6754 2.6754